Here is crystalline RbLiRhO2 at its relaxed geometry from the Alexandria database. Energies are from PBE.

Computed properties:
M_tot, μB/atom: 0.17
VASP energy, eV/atom: -5.01
Formation energy from raw total energies, eV/atom: -0.978
Crystal system: orthorhombic
Mass density, g/cm3: 4.574

a b c (Å): 3.848 6.580 7.301
angles (deg): 116.78 90.00 90.00
Atoms (fractional coordinates):
1 O 0.500 0.906 0.812
2 O 0.500 0.594 0.188
3 Li 0.000 0.500 0.000
4 Rh 0.500 0.750 0.000
5 Rb 0.999 0.250 0.500
6 O 0.500 0.406 0.812
7 Rb 0.001 0.750 0.500
8 Li 0.000 0.000 0.000
9 Rh 0.500 0.250 0.000
10 O 0.500 0.094 0.188



Here is crystalline Rb2Li2RhO4 at its relaxed geometry from the Alexandria database. Energies are from PBE.

Computed properties:
M_tot, μB/atom: 0.12
VASP energy, eV/atom: -4.96
Formation energy from raw total energies, eV/atom: -1.297
Crystal system: monoclinic
Mass density, g/cm3: 4.838

a b c (Å): 3.350 6.287 6.250
angles (deg): 107.23 90.00 105.45
Atoms (fractional coordinates):
1 Li 0.675 0.349 0.998
2 O 0.515 0.029 0.805
3 O 0.180 0.361 0.133
4 Rh 0.000 0.000 0.000
5 Rb 0.862 0.724 0.443
6 O 0.485 0.971 0.195
7 Rb 0.138 0.276 0.557
8 Li 0.325 0.651 0.002
9 O 0.820 0.639 0.867



Here is crystalline Rb3LiRu2O8 at its relaxed geometry from the Alexandria database. Energies are from PBE.

Computed properties:
M_tot, μB/atom: 0.29
VASP energy, eV/atom: -5.80
Formation energy from raw total energies, eV/atom: -1.298
Crystal system: trigonal
Mass density, g/cm3: 3.880

a b c (Å): 6.063 6.063 7.978
angles (deg): 90.00 90.00 120.00
Atoms (fractional coordinates):
1 Rb 0.667 0.333 0.338
2 O 0.174 0.826 0.320
3 Li 0.000 0.000 0.500
4 Rb 0.000 0.000 0.000
5 Ru 0.333 0.667 0.233
6 O 0.174 0.348 0.320
7 Ru 0.667 0.333 0.767
8 O 0.348 0.174 0.680
9 O 0.667 0.333 0.989
10 O 0.826 0.652 0.680
11 Rb 0.333 0.667 0.662
12 O 0.652 0.826 0.320
13 O 0.333 0.667 0.011
14 O 0.826 0.174 0.680